(1)
TiIrRu3 | GGA-PBE | optimized geometry

```
TiIrRu3
1.0
-2.7742 -3.1722 1.2924
2.1131 -2.8938 -2.5672
2.6960 -0.9961 3.3420
Ru Ir Ti
3 1 1
Cartesian
1.0565 -1.4469 -1.2836
1.3480 -0.4981 1.6710
-1.3871 -1.5861 0.6462
1.0174 -3.5311 1.0336
0.0000 0.0000 0.0000
```

Values from the calculation:
Symmetry = Pm-3m
Electronic total energy = -7.545 eV per atom
Distance to the lowest polymorph of the same formula = 0.0 meV per atom

=====

(2)
TmTiIrRu | GGA-PBE | optimized geometry

```
TmTiIrRu
1.0
4.5696 0.0000 0.0000
2.2848 3.9574 0.0000
2.2848 1.3191 3.7311
Ru Ir Tm Ti
1 1 1 1
Cartesian
0.0000 0.0000 0.0000
4.5696 2.6383 1.8655
6.8544 3.9574 2.7983
2.2848 1.3191 0.9328
```

Values from the calculation:
Symmetry = F-43m
Electronic total energy = -8.307 eV per atom

=====

(3)
YTiIrRu | GGA-PBE | optimized geometry

```
YTiIrRu
1.0
-2.1691 -3.6530 1.7921
1.0096 -1.4143 4.2710
-3.0584 0.5751 3.4024
Y Ru Ir Ti
1 1 1 1
Cartesian
-1.0545 -1.1230 2.3664
0.0000 0.0000 0.0000
-2.1089 -2.2461 4.7328
-3.1634 -3.3691 7.0992
```

Values from the calculation:
Symmetry = F-43m
Electronic total energy = -8.680 eV per atom

=====

(4)
ZrTiIrRu | GGA-PBE | optimized geometry

```
ZrTiIrRu
1.0
-0.0960 -2.1822 3.9681
2.1750 -3.9455 0.4680
3.7392 -0.2368 2.5455
Ru Ir Zr Ti
1 1 1 1
Cartesian
2.9091 -3.1823 3.4908
0.0000 0.0000 0.0000
4.3637 -4.7734 5.2362
1.4546 -1.5911 1.7454
```

Values from the calculation:
Symmetry = F-43m
Electronic total energy = -9.338 eV per atom

=====

(5)
TlIrRu | GGA-PBE | optimized geometry

```
TlIrRu
1.0
-1.5092 2.4403 0.6441
-1.3968 -2.5787 -0.2160
1.0400 -1.1242 6.6959
Ir Ru Tl
1 1 1
Cartesian
0.0244 -0.0264 0.1573
-1.1465 0.4157 2.4515
-0.7440 -1.6519 4.5152
```

Values from the calculation:
Symmetry = P3m1
Electronic total energy = -6.281 eV per atom
Distance to the lowest polymorph of the same formula = 125.9 meV per atom

=====

(6)
TlIr2Ru | GGA-PBE | optimized geometry

```
TlIr2Ru
1.0
4.8729 0.0057 -0.0016
-1.6124 4.5984 -0.0016
0.0013 0.0018 2.8809
Ir Ru Tl
2 1 1
Cartesian
0.0000 0.0000 0.0000
1.6302 2.3021 -0.0016
2.4371 0.0038 1.4397
-0.8056 2.3001 1.4397
```

Values from the calculation:
Symmetry = Cmmm
Electronic total energy = -6.809 eV per atom
Distance to the lowest polymorph of the same formula = 166.3 meV per atom

=====

no.,N(E_F) (states/eV/atom),ΔE_f (kcal/mol of atoms)
1,1.370,31.63
2,0.398,-15.71
3,0.483,-12.81
4,0.939,-15.98
5,1.039,12.77
6,1.386,12.26